Below is an optimized crystal structure of Sc4PaBi5, with properties calculated at the PBE level.

Unit cell a=6.147 b=7.467 c=7.467 alpha=80.24 beta=65.69 gamma=65.69
Last column: magnetic moment on the atom in μB.
Fractional coordinates of all 10 atoms:
Bi (0.310, 0.791, 0.591)  -0.01
Bi (0.501, 0.000, 0.000)  -0.02
Bi (0.901, 0.409, 0.791)  -0.01
Bi (0.692, 0.209, 0.409)  -0.01
Bi (0.101, 0.591, 0.209)  -0.01
Sc (0.396, 0.403, 0.806)  0.02
Sc (0.202, 0.194, 0.403)  0.02
Sc (0.800, 0.806, 0.597)  0.02
Sc (0.606, 0.597, 0.194)  0.02
Pa (0.001, 0.000, 0.000)  0.65

* SG: I4/m, No. 87
* E_form: -5.28 eV/f.u.



Below is an optimized crystal structure of ScPaBi4, with properties calculated at the PBE level.

Unit cell a=7.634 b=5.775 c=8.684 alpha=90.00 beta=90.20 gamma=90.00
Fractional coordinates of all 12 atoms:
Pa (0.000, 0.500, 0.500)
Pa (0.500, 0.000, 0.500)
Bi (0.127, 0.999, 0.655)
Bi (0.629, 0.001, 0.867)
Bi (0.873, 0.001, 0.345)
Bi (0.373, 0.499, 0.345)
Bi (0.129, 0.499, 0.867)
Bi (0.871, 0.501, 0.133)
Bi (0.627, 0.501, 0.655)
Bi (0.371, 0.999, 0.133)
Sc (0.500, 0.500, 0.000)
Sc (0.000, 0.000, 0.000)

* SG: P2_1/c, No. 14
* E_form: -0.29 eV/f.u.



Below is an optimized crystal structure of ScPaBi3, with properties calculated at the PBE level.

Unit cell a=4.778 b=7.551 c=10.108 alpha=90.00 beta=103.67 gamma=90.00
Fractional coordinates of all 10 atoms:
Bi (0.835, 0.001, 0.669)
Bi (0.835, 0.499, 0.669)
Bi (0.465, 0.750, 0.930)
Bi (0.165, 0.999, 0.331)
Bi (0.165, 0.501, 0.331)
Bi (0.535, 0.250, 0.070)
Sc (0.947, 0.250, 0.895)
Sc (0.053, 0.750, 0.105)
Pa (0.297, 0.750, 0.594)
Pa (0.703, 0.250, 0.406)

* SG: Cmcm, No. 63
* E_form: 0.01 eV/f.u.